Entry P
The following is a PBE calculation of a relaxed ZrTeAu3 crystal, from Alexandria via LeMat-Bulk.

```
5
Lattice="-0.168 1.925 4.880 -3.523 -3.659 1.322 3.887 -3.234 1.410" Properties=species:S:1:pos:R:3 pbc="T T T"
Zr 0.000 0.000 0.000
Au -1.762 -1.829 0.661
Te 0.098 -2.484 3.806
Au -0.084 0.963 2.440
Au 1.943 -1.617 0.705
```

Results
Total moment in Bohr magnetons per cell: 0.00

***

Entry Q
The following is a PBE calculation of a relaxed ZrTeAu3 crystal, from Alexandria via LeMat-Bulk.

```
5
Lattice="-3.130 4.059 -0.486 -2.520 -2.398 -3.796 -3.219 -2.070 3.444" Properties=species:S:1:pos:R:3 pbc="T T T"
Au -1.260 -1.199 -1.898
Au -1.565 2.030 -0.243
Te 0.000 0.000 0.000
Zr -4.435 -0.204 -0.419
Au -1.610 -1.035 1.722
```

Results
Total moment in Bohr magnetons per cell: 1.34

***

Which of them is least stable? Easy: entry Q.

***

Entry P
The following is a PBE calculation of a relaxed ThTiAu2 crystal, from Alexandria via LeMat-Bulk.

```
4
Lattice="-4.395 -0.630 0.720 -1.402 -3.541 2.393 -1.623 1.430 5.393" Properties=species:S:1:pos:R:3 pbc="T T T"
Ti -3.710 -1.370 4.253
Th 0.000 0.000 0.000
Au -5.595 -2.333 5.951
Au -1.824 -0.407 2.556
```

Results
Total moment in Bohr magnetons per cell: 0.25

***

Entry Q
The following is a PBE calculation of a relaxed ThTiAu2 crystal, from Alexandria via LeMat-Bulk.

```
4
Lattice="-3.144 3.905 0.386 -4.788 -0.474 -1.458 -3.677 -0.062 3.428" Properties=species:S:1:pos:R:3 pbc="T T T"
Au -8.707 2.526 1.766
Au -2.902 0.842 0.589
Ti -5.805 1.684 1.178
Th 0.000 0.000 0.000
```

Results
Total moment in Bohr magnetons per cell: 2.20

***

Which of them is least stable? Easy: entry Q.

***

Entry P
The following is a PBE calculation of a relaxed Th2TlAu crystal, from Alexandria via LeMat-Bulk.

```
4
Lattice="-0.729 2.893 -2.565 -2.767 2.683 0.794 5.041 7.048 3.499" Properties=species:S:1:pos:R:3 pbc="T T T"
Th 0.232 3.027 0.330
Tl 0.773 6.312 0.864
Th 1.314 9.598 1.398
Au 0.000 0.000 0.000
```

Results
Total moment in Bohr magnetons per cell: 0.00

***

Entry Q
The following is a PBE calculation of a relaxed Th2TlAu crystal, from Alexandria via LeMat-Bulk.

```
4
Lattice="5.399 0.000 0.000 2.699 4.676 0.000 2.699 1.559 4.408" Properties=species:S:1:pos:R:3 pbc="T T T"
Th 8.098 4.676 3.306
Au 5.399 3.117 2.204
Th 2.699 1.559 1.102
Tl 0.000 0.000 0.000
```

Results
Total moment in Bohr magnetons per cell: 0.00

***

Which of them is least stable? Easy: entry P.

***

Entry P
The following is a PBE calculation of a relaxed Th2TlAu crystal, from Alexandria via LeMat-Bulk.

```
4
Lattice="4.615 0.000 0.000 2.307 3.996 0.000 2.307 1.332 6.842" Properties=species:S:1:pos:R:3 pbc="T T T"
Th 2.307 1.332 5.337
Th 2.307 1.332 1.443
Tl 4.615 2.664 3.437
Au 4.615 2.664 0.045
```

Results
Total moment in Bohr magnetons per cell: 0.00

***

Entry Q
The following is a PBE calculation of a relaxed Th2TlAu crystal, from Alexandria via LeMat-Bulk.

```
4
Lattice="-1.445 1.580 -3.985 4.174 -1.436 -2.083 -1.992 -4.342 -0.999" Properties=species:S:1:pos:R:3 pbc="T T T"
Th 2.087 -0.718 -1.041
Au 0.369 -2.099 -3.533
Th -0.996 -2.171 -0.500
Tl -0.722 0.790 -1.992
```

Results
Total moment in Bohr magnetons per cell: 0.00

***

Entry R
The following is a PBE calculation of a relaxed Th2TlAu crystal, from Alexandria via LeMat-Bulk.

```
4
Lattice="3.498 0.000 0.000 0.000 3.498 0.000 0.000 0.000 8.899" Properties=species:S:1:pos:R:3 pbc="T T T"
Th 0.000 0.000 2.058
Th 0.000 0.000 6.841
Au 1.749 1.749 0.000
Tl 1.749 1.749 4.449
```

Results
Total moment in Bohr magnetons per cell: 0.00

***

Which of them is least stable? Easy: entry P.

***

Entry P
The following is a PBE calculation of a relaxed ThTl2Au crystal, from Alexandria via LeMat-Bulk.

```
4
Lattice="4.857 0.000 0.000 0.000 4.641 0.000 0.000 0.000 4.641" Properties=species:S:1:pos:R:3 pbc="T T T"
Au 2.428 0.000 0.000
Th 2.428 2.320 2.320
Tl 0.000 0.000 2.320
Tl 0.000 2.320 0.000
```

Results
Total moment in Bohr magnetons per cell: 0.00

***

Entry Q
The following is a PBE calculation of a relaxed ThTl2Au crystal, from Alexandria via LeMat-Bulk.

```
4
Lattice="-1.862 -0.823 -2.781 1.060 -2.519 -2.100 -5.975 -8.532 4.390" Properties=species:S:1:pos:R:3 pbc="T T T"
Th 0.000 0.000 0.000
Tl -4.284 -6.335 2.607
Tl -2.493 -5.539 -3.099
Au -3.388 -5.937 -0.246
```

Results
Total moment in Bohr magnetons per cell: 0.00

***

Which of them is least stable? Easy: entry Q.

***

Entry P
The following is a PBE calculation of a relaxed TmThTlAu crystal, from Alexandria via LeMat-Bulk.

```
4
Lattice="5.305 0.000 0.000 2.653 4.594 0.000 2.653 1.531 4.332" Properties=species:S:1:pos:R:3 pbc="T T T"
Th 2.653 1.531 1.083
Tm 7.958 4.594 3.249
Au 0.000 0.000 0.000
Tl 5.305 3.063 2.166
```

Results
Total moment in Bohr magnetons per cell: 0.82

***

Entry Q
The following is a PBE calculation of a relaxed TmThTlAu crystal, from Alexandria via LeMat-Bulk.

```
4
Lattice="3.570 0.000 0.000 0.000 3.570 0.000 0.000 0.000 8.128" Properties=species:S:1:pos:R:3 pbc="T T T"
Au 1.785 1.785 4.707
Th 0.000 0.000 6.845
Tm 0.000 0.000 3.110
Tl 1.785 1.785 1.008
```

Results
Total moment in Bohr magnetons per cell: 0.00

***

Which of them is least stable? Easy: entry P.

***

Entry P
The following is a PBE calculation of a relaxed TmThAu2 crystal, from Alexandria via LeMat-Bulk.

```
4
Lattice="5.166 0.000 0.000 2.583 4.474 0.000 2.583 1.491 4.218" Properties=species:S:1:pos:R:3 pbc="T T T"
Au 7.749 4.474 3.164
Tm 5.166 2.983 2.109
Th 0.000 0.000 0.000
Au 2.583 1.491 1.055
```

Results
Total moment in Bohr magnetons per cell: 0.00

***

Entry Q
The following is a PBE calculation of a relaxed TmThAu2 crystal, from Alexandria via LeMat-Bulk.

```
4
Lattice="-2.769 -1.448 1.632 0.776 -3.118 -1.450 4.444 -1.699 6.031" Properties=species:S:1:pos:R:3 pbc="T T T"
Au 3.455 -1.321 4.688
Th 1.226 -3.132 3.107
Tm -0.996 -2.283 0.091
Au 0.989 -0.378 1.343
```

Results
Total moment in Bohr magnetons per cell: 0.00

***

Which of them is least stable? Easy: entry P.

***

Entry P
The following is a PBE calculation of a relaxed YTh2Au crystal, from Alexandria via LeMat-Bulk.

```
4
Lattice="-3.202 0.039 -1.698 -1.255 -2.496 2.310 -2.843 6.530 5.510" Properties=species:S:1:pos:R:3 pbc="T T T"
Y -3.650 2.037 3.061
Au -2.229 -1.228 0.306
Th -0.613 1.407 1.187
Th -2.230 5.123 4.323
```

Results
Total moment in Bohr magnetons per cell: 0.00

***

Entry Q
The following is a PBE calculation of a relaxed YTh2Au crystal, from Alexandria via LeMat-Bulk.

```
4
Lattice="3.460 0.000 0.000 1.730 2.996 0.000 1.730 0.999 11.606" Properties=species:S:1:pos:R:3 pbc="T T T"
Y 0.000 0.000 0.000
Th 5.190 2.996 3.360
Au 3.460 1.997 5.803
Th 1.730 0.999 8.246
```

Results
Total moment in Bohr magnetons per cell: 0.00

***

Which of them is least stable? Easy: entry Q.

***

Entry P
The following is a PBE calculation of a relaxed YThAu crystal, from Alexandria via LeMat-Bulk.

```
3
Lattice="3.608 0.000 0.000 0.000 3.608 0.000 -1.804 -1.804 6.331" Properties=species:S:1:pos:R:3 pbc="T T T"
Y 0.000 0.000 3.966
Th 0.000 0.000 0.163
Au 1.804 1.804 2.203
```

Results
Total moment in Bohr magnetons per cell: 0.00

***

Entry Q
The following is a PBE calculation of a relaxed YThAu crystal, from Alexandria via LeMat-Bulk.

```
3
Lattice="3.878 0.000 0.000 0.000 5.000 0.000 0.000 -2.500 4.330" Properties=species:S:1:pos:R:3 pbc="T T T"
Th 0.143 0.000 0.000
Y 2.174 2.500 1.443
Au 1.561 0.000 2.887
```

Results
Total moment in Bohr magnetons per cell: 0.00

***

Which of them is least stable? Easy: entry Q.

***

Entry P
The following is a PBE calculation of a relaxed YThAu4 crystal, from Alexandria via LeMat-Bulk.

```
6
Lattice="5.786 -0.059 1.039 0.018 5.809 0.912 1.166 1.245 4.446" Properties=species:S:1:pos:R:3 pbc="T T T"
Au 3.345 1.427 3.803
Th 4.000 4.176 5.411
Au 1.303 3.267 3.830
Y 0.680 6.338 3.128
Au 3.754 5.648 2.507
Au 5.557 3.577 2.617
```

Results
Total moment in Bohr magnetons per cell: 0.00

***

Entry Q
The following is a PBE calculation of a relaxed YThAu4 crystal, from Alexandria via LeMat-Bulk.

```
6
Lattice="-2.898 -1.171 2.211 -1.326 -2.151 -2.876 5.108 -7.089 2.944" Properties=species:S:1:pos:R:3 pbc="T T T"
Y 0.442 -5.206 1.139
Au -1.230 -2.885 0.176
Au -0.849 -8.006 1.280
Th 0.000 0.000 0.000
Au 2.114 -7.526 2.103
Au 1.733 -2.405 0.999
```

Results
Total moment in Bohr magnetons per cell: 0.00

***

Which of them is least stable? Easy: entry P.

***

Entry P
The following is a PBE calculation of a relaxed ThZn9Au2 crystal, from Alexandria via LeMat-Bulk.

```
12
Lattice="3.205 0.000 0.000 0.000 8.764 0.000 0.000 -4.382 7.590" Properties=species:S:1:pos:R:3 pbc="T T T"
Zn 1.602 4.382 4.794
Zn 1.602 6.343 1.398
Zn 1.602 2.421 1.398
Zn 1.602 1.961 6.192
Zn 0.000 -2.191 3.795
Au 0.000 4.382 2.530
Zn 0.000 4.382 0.000
Zn 1.602 -1.961 6.192
Zn 0.000 2.191 3.795
Th 0.000 0.000 0.000
Zn 1.602 0.000 2.795
Au 0.000 0.000 5.060
```

Results
Total moment in Bohr magnetons per cell: 0.09

***

Entry Q
The following is a PBE calculation of a relaxed ThZn9Au2 crystal, from Alexandria via LeMat-Bulk.

```
24
Lattice="6.339 0.000 2.918 3.169 7.607 1.459 -0.012 0.000 8.369" Properties=species:S:1:pos:R:3 pbc="T T T"
Zn 4.770 1.302 7.111
Zn 6.333 3.803 7.103
Zn 0.000 0.000 0.000
Zn 4.179 5.106 2.652
Au 6.330 1.902 9.195
Zn 6.573 4.464 9.967
Th 3.169 0.000 1.459
Zn 2.326 3.142 2.505
Zn 4.001 3.142 8.783
Au 7.921 5.705 5.740
Zn 4.007 0.661 4.598
Au 6.336 1.902 5.011
Zn 7.343 6.305 8.295
Au 4.745 5.705 8.465
Th 3.164 3.803 5.644
Zn 2.321 0.661 6.689
Zn 6.093 4.464 4.239
Zn 5.323 6.305 5.910
Zn 4.776 2.501 2.927
Zn 1.557 1.302 4.176
Zn 2.917 6.946 6.964
Zn 3.410 6.946 4.323
Zn 2.148 5.106 8.635
Zn 1.551 2.501 8.361
```

Results
Total moment in Bohr magnetons per cell: 0.00

***

Which of them is least stable? Easy: entry P.

***

Entry P
The following is a PBE calculation of a relaxed Th2Zn2Au3 crystal, from Alexandria via LeMat-Bulk.

```
14
Lattice="4.100 0.000 -0.978 0.000 7.439 0.000 0.243 0.000 10.108" Properties=species:S:1:pos:R:3 pbc="T T T"
Th 4.068 1.860 7.975
Zn 2.935 7.009 3.222
Au 2.352 3.297 0.776
Au 1.992 4.142 8.354
Th 3.625 5.579 6.117
Th 0.718 1.860 3.013
Zn 2.935 4.150 3.222
Zn 1.409 3.290 5.909
Au 3.308 1.860 4.787
Th 0.276 5.579 1.156
Au 2.352 0.423 0.776
Zn 1.409 0.430 5.909
Au 1.036 5.579 4.343
Au 1.992 7.017 8.354
```

Results
Total moment in Bohr magnetons per cell: 0.00

***

Entry Q
The following is a PBE calculation of a relaxed Th2Zn2Au3 crystal, from Alexandria via LeMat-Bulk.

```
7
Lattice="3.729 0.000 0.000 0.000 4.331 0.000 0.000 -2.165 9.629" Properties=species:S:1:pos:R:3 pbc="T T T"
Au 0.000 0.000 0.000
Zn 1.864 0.000 5.470
Th 0.000 0.000 2.961
Zn 1.864 2.165 4.159
Au 1.864 2.165 1.408
Th 0.000 2.165 6.668
Au 1.864 0.000 8.220
```

Results
Total moment in Bohr magnetons per cell: 0.00

***

Which of them is least stable? Easy: entry Q.

***

Entry P
The following is a PBE calculation of a relaxed ThZnAu3 crystal, from Alexandria via LeMat-Bulk.

```
20
Lattice="-3.792 3.156 -2.778 -4.060 -1.743 3.561 2.599 10.063 7.887" Properties=species:S:1:pos:R:3 pbc="T T T"
Zn -1.314 2.547 2.578
Au -1.623 9.741 7.353
Zn -3.853 2.100 3.986
Au -5.211 4.063 1.929
Au -3.629 1.735 1.317
Au 0.927 3.971 3.084
Th -0.596 6.609 2.555
Th -2.030 -0.871 1.781
Th -1.896 1.578 -1.389
Au -5.443 10.359 7.823
Th -0.730 4.160 5.724
Au 0.190 1.117 0.848
Au -0.041 7.414 6.741
Au -2.824 7.169 7.971
Zn -3.938 8.929 6.092
Au -2.892 4.589 3.554
Au -2.428 4.307 0.700
Zn -1.399 9.376 4.685
Au -2.360 6.888 5.117
Au -6.179 7.506 5.586
```

Results
Total moment in Bohr magnetons per cell: 0.00

***

Entry Q
The following is a PBE calculation of a relaxed ThZnAu3 crystal, from Alexandria via LeMat-Bulk.

```
10
Lattice="-3.911 -2.351 -2.534 0.761 -3.933 2.475 -2.526 6.991 7.407" Properties=species:S:1:pos:R:3 pbc="T T T"
Au -2.216 -1.016 3.546
Zn -4.052 -0.009 5.709
Au -2.975 -1.751 -1.868
Au -4.294 0.040 1.384
Au -3.460 1.723 3.802
Th -3.080 -2.698 1.138
Au -1.382 0.667 5.964
Au -2.702 2.458 9.215
Zn -1.625 0.717 1.638
Th -2.596 3.406 6.210
```

Results
Total moment in Bohr magnetons per cell: 0.00

***

Which of them is least stable? Easy: entry Q.